Here is a relaxed AcDySn crystal from the Alexandria database. Energies are from PBE.

Values from the calculation:
V = 37.02 A^3/atom
Magnetization = 0.00 μB/f.u.
Distance to the lowest polymorph of the same formula = 235 meV per atom

Lattice parameters (Å, degrees): 7.6302 7.6302 7.6302 90.00 90.00 90.00
Space group F-43m (No. 216)
One atom of each set of equivalent atoms:
Ac (0.0000, 0.0000, 0.0000) x4
Dy (0.0000, 0.0000, 0.5000) x4
Sn (0.2500, 0.2500, 0.2500) x4